[1]
This record from Alexandria via LeMat-Bulk describes Ti6AlAu after structural relaxation. The functional is PBE-GGA.

Results
For the calculated density, the calculation gives 6.309 g cm⁻³. For the formation energy, the calculation gives -226 meV/atom. Its space group is P-6m2 (187). The size of the total moment is 0.52 μB/f.u. The volume comes out at 16.8 Å³/atom.

Cell lengths 4.7285, 5.7324, 5.7324 Å; angles 120.02, 90.00, 90.00 degrees
Site moments in Bohr magnetons follow the coordinates.
Atoms (fractional coordinates):
Ti 0.0000 0.5783 0.4217  0.04
Ti 0.0000 0.0929 0.4216  0.04
Ti 0.5000 0.9171 0.5841  0.10
Ti 0.5000 0.9171 0.0829  0.10
Ti 0.5000 0.4159 0.0829  0.10
Ti 0.0000 0.5784 0.9071  0.04
Al 0.5000 0.4167 0.5833  0.00
Au 0.0000 0.0832 0.9168  0.01

[2]
This record from Alexandria via LeMat-Bulk describes TbSm4Hg4 after structural relaxation. The functional is PBE-GGA.

Results
For the calculated density, the calculation gives 9.982 g cm⁻³. For the formation energy, the calculation gives -261 meV/atom. Its space group is P4_2/n (86). The size of the total moment is 0.00 μB/f.u. The volume comes out at 28.9 Å³/atom.

Cell lengths 5.6642, 9.5807, 9.5807 Å; angles 90.00, 90.00, 90.00 degrees
Atoms (fractional coordinates):
Hg 0.1073 0.2994 0.3971
Hg 0.8927 0.3971 0.7006
Hg 0.1073 0.7006 0.6029
Hg 0.6073 0.1029 0.7994
Hg 0.3927 0.7994 0.8971
Hg 0.8927 0.6029 0.2994
Hg 0.3927 0.2006 0.1029
Hg 0.6073 0.8971 0.2006
Tb 0.5000 0.5000 0.5000
Tb 0.0000 0.0000 0.0000
Sm 0.6044 0.8442 0.5877
Sm 0.6044 0.1558 0.4123
Sm 0.8956 0.3442 0.0877
Sm 0.1044 0.0877 0.6558
Sm 0.3956 0.4123 0.8442
Sm 0.3956 0.5877 0.1558
Sm 0.8956 0.6558 0.9123
Sm 0.1044 0.9123 0.3442

[3]
This record from Alexandria via LeMat-Bulk describes ZnInO2F after structural relaxation. The functional is PBE-GGA.

Results
For the calculated density, the calculation gives 5.300 g cm⁻³. Its uncorrected formation energy is -948 meV/atom. Its space group is P4/mmm (123). The size of the total moment is 0.00 μB/f.u. The volume comes out at 14.5 Å³/atom.

Cell lengths 4.1884, 4.1884, 4.1294 Å; angles 90.00, 90.00, 90.00 degrees
Atoms (fractional coordinates):
O 0.0000 0.5000 0.0000
O 0.5000 0.0000 0.0000
F 0.0000 0.0000 0.5000
In 0.0000 0.0000 0.0000
Zn 0.5000 0.5000 0.5000

[4]
This record from Alexandria via LeMat-Bulk describes LaTm2Ga2Cu2 after structural relaxation. The functional is PBE-GGA.

Results
For the calculated density, the calculation gives 7.937 g cm⁻³. For the formation energy, the calculation gives -402 meV/atom. Its space group is R-3m (166). The size of the total moment is 0.00 μB/f.u. The volume comes out at 22.2 Å³/atom.

Cell lengths 4.4495, 4.4495, 9.4270 Å; angles 76.35, 76.35, 60.00 degrees
Atoms (fractional coordinates):
Ga 0.7451 0.7451 0.7646
Ga 0.2549 0.2549 0.2354
Cu 0.4106 0.4106 0.7682
Cu 0.5894 0.5894 0.2318
La 0.0000 0.0000 0.0000
Tm 0.8731 0.8731 0.3808
Tm 0.1269 0.1269 0.6192

[5]
This record from Alexandria via LeMat-Bulk describes PmTaS after structural relaxation. The functional is PBE-GGA.

Results
For the calculated density, the calculation gives 9.155 g cm⁻³. Its uncorrected formation energy is -806 meV/atom. Its space group is C2/m (12). The size of the total moment is 0.00 μB/f.u. The volume comes out at 21.6 Å³/atom.

Cell lengths 3.6220, 5.2697, 7.3958 Å; angles 100.85, 90.00, 110.10 degrees
Atoms (fractional coordinates):
Ta 0.8633 0.7266 0.5399
Ta 0.1367 0.2734 0.4601
Pm 0.6125 0.2250 0.8266
Pm 0.3875 0.7750 0.1734
S 0.6754 0.3508 0.2348
S 0.3246 0.6492 0.7652

[6]
This record from Alexandria via LeMat-Bulk describes BaAg6S4 after structural relaxation. The functional is PBE-GGA.

Results
For the calculated density, the calculation gives 6.249 g cm⁻³. Its uncorrected formation energy is -340 meV/atom. The relative energy among the computed polymorphs comes out at 0.00 eV/f.u. Its space group is I-42m (121). The size of the total moment is 0.00 μB/f.u. The volume comes out at 22.0 Å³/atom.

Cell lengths 6.9390, 6.9390, 6.9390 Å; angles 93.29, 118.12, 118.12 degrees
Atoms (fractional coordinates):
Ag 0.0000 0.8004 0.5016
Ag 0.5000 0.0000 0.5000
Ag 0.0000 0.5016 0.8004
Ag 0.2988 0.4984 0.4984
Ag 0.7012 0.1996 0.1996
Ag 0.5000 0.5000 0.0000
S 0.5607 0.4052 0.4052
S 0.4393 0.8445 0.8445
S 0.0000 0.5948 0.1555
S 0.0000 0.1555 0.5948
Ba 0.0000 0.0000 0.0000

[7]
This record from Alexandria via LeMat-Bulk describes ZnBrCl4 after structural relaxation. The functional is PBE-GGA.

Results
For the calculated density, the calculation gives 1.927 g cm⁻³. Its uncorrected formation energy is -512 meV/atom. The relative energy among the computed polymorphs comes out at 0.00 eV/f.u. Its space group is C2/c (15). The size of the total moment is 0.00 μB/f.u. The volume comes out at 41.2 Å³/atom.

Cell lengths 6.1812, 7.6131, 12.7452 Å; angles 100.01, 95.09, 120.98 degrees
Atoms (fractional coordinates):
Cl 0.6676 0.7362 0.5986
Cl 0.8521 0.1482 0.1111
Cl 0.3324 0.2638 0.4014
Cl 0.7410 0.5371 0.8889
Cl 0.9309 0.3623 0.5986
Cl 0.0691 0.6377 0.4014
Cl 0.1479 0.8518 0.8889
Cl 0.2590 0.4629 0.1111
Zn 0.7500 0.5000 0.5001
Zn 0.2500 0.5000 0.4999
Br 0.4203 0.1703 0.8406
Br 0.5797 0.8297 0.1594

[8]
This record from Alexandria via LeMat-Bulk describes HfZr2Al after structural relaxation. The functional is PBE-GGA.

Results
For the calculated density, the calculation gives 7.561 g cm⁻³. For the formation energy, the calculation gives -201 meV/atom. Its space group is P4/mmm (123). The size of the total moment is 0.00 μB/f.u. The volume comes out at 21.3 Å³/atom.

Cell lengths 3.1479, 3.1479, 8.5981 Å; angles 90.00, 90.00, 90.00 degrees
Atoms (fractional coordinates):
Hf 0.5000 0.5000 0.5000
Zr 0.0000 0.0000 0.2354
Zr 0.0000 0.0000 0.7646
Al 0.5000 0.5000 0.0000

[9]
This record from Alexandria via LeMat-Bulk describes SmPuRuPb after structural relaxation. The functional is PBE-GGA.

Results
For the calculated density, the calculation gives 11.792 g cm⁻³. For the formation energy, the calculation gives -249 meV/atom. Its space group is P4mm (99). The size of the total moment is 4.93 μB/f.u. The volume comes out at 24.7 Å³/atom.

Cell lengths 3.3628, 3.3628, 8.7492 Å; angles 90.00, 90.00, 90.00 degrees
Site moments in Bohr magnetons follow the coordinates.
Atoms (fractional coordinates):
Ru 0.0000 0.0000 0.5636  -0.52
Pu 0.5000 0.5000 0.3735  5.16
Sm 0.5000 0.5000 0.7727  0.10
Pb 0.0000 0.0000 0.0749  -0.04

[10]
This record from Alexandria via LeMat-Bulk describes BaDyZn2Ge2 after structural relaxation. The functional is PBE-GGA.

Results
For the calculated density, the calculation gives 6.643 g cm⁻³. For the formation energy, the calculation gives -553 meV/atom. Its space group is P-3m1 (164). The size of the total moment is 0.00 μB/f.u. The volume comes out at 24.0 Å³/atom.

Cell lengths 4.3077, 4.3077, 8.9584 Å; angles 90.00, 90.00, 120.00 degrees
Atoms (fractional coordinates):
Ba 0.0000 0.0000 0.0000
Ge 0.6667 0.3333 0.7155
Ge 0.3333 0.6667 0.2845
Dy 0.0000 0.0000 0.5000
Zn 0.6667 0.3333 0.2910
Zn 0.3333 0.6667 0.7090